[1]
This record from the Alexandria database describes BaFe2Pt at its PBEsol-relaxed geometry. The functional is SCAN.

Cell: 5.6738 5.6738 5.6738 Å, 149.61 126.31 62.96°
Last column: nearest neighbours and their distance in Å.
Element x y z (fractional)
Ba 0.0000 0.0000 0.0000  8 Fe 2.97-3.25, 2 Ba 2.97, 4 Pt 3.20-3.25
Fe 0.2938 0.7938 0.5000  2 Fe 2.36
Fe 0.4829 0.4829 0.0000  2 Fe 2.36, 2 Pt 2.63
Pt 0.7067 0.2067 0.5000  2 Fe 2.63

Properties
space group	No. 44
formation enthalpy at 0 K	0.47	eV/atom
total DFT energy (no corrections)	-36.034	eV/atom

=====

[2]
This record from the Alexandria database describes BaFePt at its PBEsol-relaxed geometry. The functional is SCAN.

Cell: 4.1435 4.1435 4.8736 Å, 90.00 90.00 120.00°
Last column: nearest neighbours and their distance in Å.
Element x y z (fractional)
Ba 0.0000 0.0000 0.0000  6 Fe 3.41, 6 Pt 3.41
Fe 0.6667 0.3333 0.5000  3 Pt 2.39
Pt 0.3333 0.6667 0.5000  3 Fe 2.39

Properties
space group	No. 187
formation enthalpy at 0 K	-0.29	eV/atom
total DFT energy (no corrections)	-42.913	eV/atom

=====

[3]
This record from the Alexandria database describes Ba2FePt at its PBEsol-relaxed geometry. The functional is SCAN.

Cell: 4.4209 4.5313 6.3571 Å, 90.00 90.00 90.00°
Last column: nearest neighbours and their distance in Å.
Element x y z (fractional)
Ba 0.0000 0.0000 0.0000  4 Pt 3.17, 2 Fe 3.17-3.18
Ba 0.5000 0.5000 0.4975  4 Fe 3.17, 2 Pt 3.18
Fe 0.0000 0.0000 0.5006  6 Ba 3.17-3.18
Pt 0.5000 0.5000 0.9972  6 Ba 3.17-3.18

Properties
space group	No. 25
formation enthalpy at 0 K	0.16	eV/atom
total DFT energy (no corrections)	-41.695	eV/atom

=====

[4]
This record from the Alexandria database describes Ba2FePt at its PBEsol-relaxed geometry. The functional is SCAN.

Cell: 3.8165 3.8165 7.6976 Å, 90.00 90.00 90.98°
Last column: nearest neighbours and their distance in Å.
Element x y z (fractional)
Ba 0.0000 0.0000 0.2340  4 Pt 3.23-3.26, 4 Fe 3.37-3.41, 1 Ba 3.60
Ba 0.0000 0.0000 0.7660  4 Pt 3.23-3.26, 4 Fe 3.37-3.41, 1 Ba 3.60
Fe 0.5000 0.5000 0.5000  8 Ba 3.37-3.41
Pt 0.5000 0.5000 0.0000  8 Ba 3.23-3.26

Properties
space group	No. 65
formation enthalpy at 0 K	0.02	eV/atom
total DFT energy (no corrections)	-41.833	eV/atom

=====

[5]
This record from the Alexandria database describes BaSrFePt2 at its PBEsol-relaxed geometry. The functional is SCAN.

Cell: 5.2843 5.2843 5.8573 Å, 90.00 90.00 90.00°
Last column: nearest neighbours and their distance in Å.
Element x y z (fractional)
Ba 0.0000 0.0000 0.0000  4 Pt 2.64, 2 Sr 2.93
Sr 0.0000 0.0000 0.5000  2 Ba 2.93
Fe 0.5000 0.5000 0.5000  4 Sr 3.74, 8 Pt 3.94
Pt 0.0000 0.5000 0.0000  2 Ba 2.64
Pt 0.5000 0.0000 0.0000  2 Ba 2.64

Properties
space group	No. 123
formation enthalpy at 0 K	1.50	eV/atom
total DFT energy (no corrections)	-42.566	eV/atom

=====

[6]
This record from the Alexandria database describes BaFeRe2Rh at its PBEsol-relaxed geometry. The functional is SCAN.

Cell: 4.4064 4.4064 5.1610 Å, 90.00 90.00 90.00°
Last column: nearest neighbours and their distance in Å.
Element x y z (fractional)
Ba 0.0000 0.0000 0.0000  2 Fe 2.58
Fe 0.0000 0.0000 0.5000  4 Re 2.20
Re 0.0000 0.5000 0.5000  2 Fe 2.20
Re 0.5000 0.0000 0.5000  2 Fe 2.20
Rh 0.5000 0.5000 0.0000  4 Ba 3.12, 8 Re 3.39

Properties
space group	No. 123
formation enthalpy at 0 K	1.83	eV/atom
total DFT energy (no corrections)	-44.897	eV/atom

=====

[7]
This record from the Alexandria database describes BaFeRe2Te at its PBEsol-relaxed geometry. The functional is SCAN.

Cell: 4.9812 4.9812 4.7852 Å, 90.00 90.00 90.00°
Last column: nearest neighbours and their distance in Å.
Element x y z (fractional)
Ba 0.0000 0.0000 0.0000  8 Re 3.45, 4 Fe 3.52
Fe 0.5000 0.5000 0.0000  2 Te 2.39
Re 0.0000 0.5000 0.5000  2 Te 2.49
Re 0.5000 0.0000 0.5000  2 Te 2.49
Te 0.5000 0.5000 0.5000  2 Fe 2.39, 4 Re 2.49

Properties
space group	No. 123
total DFT energy (no corrections)	-45.814	eV/atom
raw formation energy	37.2	kcal/mol of atoms

=====

[8]
This record from the Alexandria database describes BaYFeRe2 at its PBEsol-relaxed geometry. The functional is SCAN.

Cell: 4.5864 4.5864 5.1054 Å, 90.00 90.00 90.00°
Last column: nearest neighbours and their distance in Å.
Element x y z (fractional)
Ba 0.0000 0.0000 0.0000  2 Fe 2.55
Y 0.5000 0.5000 0.0000  4 Ba 3.24, 8 Re 3.43
Fe 0.0000 0.0000 0.5000  4 Re 2.29, 2 Ba 2.55
Re 0.0000 0.5000 0.5000  2 Fe 2.29
Re 0.5000 0.0000 0.5000  2 Fe 2.29

Properties
space group	No. 123
formation enthalpy at 0 K	1.31	eV/atom
total DFT energy (no corrections)	-44.235	eV/atom

=====

[9]
This record from the Alexandria database describes BaFe2Rh at its PBEsol-relaxed geometry. The functional is SCAN.

Cell: 4.6010 4.6010 4.6010 Å, 60.00 60.00 60.00°
Last column: nearest neighbours and their distance in Å.
Element x y z (fractional)
Ba 0.0000 0.0000 0.0000  4 Rh 2.82, 4 Fe 2.82
Fe 0.2500 0.2500 0.2500  4 Ba 2.82, 4 Fe 2.82
Fe 0.5000 0.5000 0.5000  4 Fe 2.82, 4 Rh 2.82
Rh 0.7500 0.7500 0.7500  4 Ba 2.82, 4 Fe 2.82

Properties
space group	No. 216
formation enthalpy at 0 K	0.85	eV/atom
total DFT energy (no corrections)	-26.541	eV/atom

=====

[10]
This record from the Alexandria database describes BaFe2Rh at its PBEsol-relaxed geometry. The functional is SCAN.

Cell: 3.0402 3.4593 7.1481 Å, 90.00 90.00 90.00°
Last column: nearest neighbours and their distance in Å.
Element x y z (fractional)
Ba 0.0000 0.0000 0.0000  2 Ba 3.04, 8 Fe 3.37
Fe 0.5000 0.5000 0.3449  1 Fe 2.22
Fe 0.5000 0.5000 0.6551  1 Fe 2.22
Rh 0.0000 0.0000 0.5000  8 Fe 2.56

Properties
space group	No. 47
formation enthalpy at 0 K	0.38	eV/atom
total DFT energy (no corrections)	-27.019	eV/atom

=====

[11]
This record from the Alexandria database describes BaFeRh2 at its PBEsol-relaxed geometry. The functional is SCAN.

Cell: 4.6383 4.6383 4.6383 Å, 60.00 60.00 60.00°
Last column: nearest neighbours and their distance in Å.
Element x y z (fractional)
Ba 0.0000 0.0000 0.0000  4 Fe 2.84, 4 Rh 2.84
Fe 0.7500 0.7500 0.7500  4 Ba 2.84, 4 Rh 2.84
Rh 0.2500 0.2500 0.2500  4 Ba 2.84, 4 Rh 2.84
Rh 0.5000 0.5000 0.5000  4 Fe 2.84, 4 Rh 2.84

Properties
space group	No. 216
formation enthalpy at 0 K	0.67	eV/atom
total DFT energy (no corrections)	-30.640	eV/atom

=====

[12]
This record from the Alexandria database describes BaFe2Rh at its PBEsol-relaxed geometry. The functional is SCAN.

Cell: 5.7936 5.7936 5.7936 Å, 149.82 127.24 61.99°
Last column: nearest neighbours and their distance in Å.
Element x y z (fractional)
Ba 0.0000 0.0000 0.0000  4 Rh 2.98, 2 Ba 3.02, 8 Fe 3.28-3.29
Fe 0.2934 0.7934 0.5000  2 Rh 2.55
Fe 0.7066 0.2066 0.5000  2 Rh 2.55
Rh 0.5000 0.5000 0.0000  4 Fe 2.55

Properties
space group	No. 71
formation enthalpy at 0 K	0.63	eV/atom
total DFT energy (no corrections)	-26.770	eV/atom

=====

[13]
This record from the Alexandria database describes BaFe2Rh at its PBEsol-relaxed geometry. The functional is SCAN.

Cell: 5.5367 5.5367 5.5367 Å, 148.59 125.24 64.50°
Last column: nearest neighbours and their distance in Å.
Element x y z (fractional)
Ba 0.0000 0.0000 0.0000  8 Fe 2.96-3.20, 2 Ba 3.00, 4 Rh 3.12-3.21
Fe 0.2938 0.7938 0.5000  2 Fe 2.36
Fe 0.4885 0.4885 0.0000  2 Fe 2.36, 2 Rh 2.55
Rh 0.7084 0.2084 0.5000  2 Fe 2.55

Properties
space group	No. 44
formation enthalpy at 0 K	0.71	eV/atom
total DFT energy (no corrections)	-26.690	eV/atom

=====

[14]
This record from the Alexandria database describes BaFeRu2 at its PBEsol-relaxed geometry. The functional is SCAN.

Cell: 3.0240 3.0240 7.7502 Å, 90.00 90.00 90.00°
Last column: nearest neighbours and their distance in Å.
Element x y z (fractional)
Ba 0.0000 0.0000 0.0000  4 Ba 3.02, 8 Ru 3.35
Fe 0.0000 0.0000 0.5000  8 Ru 2.50
Ru 0.5000 0.5000 0.3326  4 Fe 2.50, 1 Ru 2.59
Ru 0.5000 0.5000 0.6674  4 Fe 2.50, 1 Ru 2.59

Properties
space group	No. 123
relative energy among the computed polymorphs	56.4	meV per atom
formation enthalpy at 0 K	0.65	eV/atom
total DFT energy (no corrections)	-31.178	eV/atom

=====

no.,density (g cm⁻³),M_tot (μB/atom)
1,9.998,1.45
2,8.897,0.90
3,6.853,0.62
4,7.785,0.61
5,6.812,0.70
6,11.078,0.00
7,9.695,0.97
8,10.120,0.00
9,8.485,1.43
10,7.773,1.60
11,9.389,0.94
12,7.577,1.68
13,8.176,1.55
14,9.262,0.45